# Tb5Nd3Tm4 PBE-GGA optimized geometry
# Size of the total moment ... 0.00 μB/f.u.
# ΔE_f ... 19 meV per atom
data_Tb5Nd3Tm4
_chemical_formula_sum 'Tb5 Nd3 Tm4'
_space_group_name_H-M_alt 'P -1'
_space_group_IT_number 2
_cell_length_a 6.176
_cell_length_b 7.128
_cell_length_c 8.727
_cell_angle_alpha 90.05
_cell_angle_beta 90.05
_cell_angle_gamma 90.13
loop_
_space_group_symop_operation_xyz
'x,y,z'
'-x,-y,-z'
loop_
_atom_site_label
_atom_site_fract_x
_atom_site_fract_y
_atom_site_fract_z
Tb1 0.000 0.000 0.000
Tb2 0.335 0.500 0.334
Tb3 0.499 0.752 0.000
Nd1 0.000 0.500 0.000
Nd2 0.166 0.249 0.665
Tm1 0.168 0.752 0.666
Tm2 0.334 0.000 0.334